No. 1
Material: Ca3In2GePd8
Method: DFT, PBE
State: relaxed

POSCAR file:
```
Ca3In2GePd8
1.0
-0.107 -1.614 -5.269
4.685 1.881 2.212
2.508 -9.671 2.912
Ca Ge Pd In
3 1 8 2
Cartesian
0.000 0.000 0.000 Ca
2.580 -4.649 -1.511 Ca
4.507 -4.756 1.366 Ca
1.254 -4.836 1.456 Ge
4.660 -1.670 1.865 Pd
4.779 -6.789 -0.900 Pd
5.209 -7.461 2.180 Pd
4.607 -2.481 -0.781 Pd
2.480 -6.923 0.636 Pd
2.308 -2.615 0.754 Pd
1.878 -1.943 -2.326 Pd
2.426 -7.734 -2.010 Pd
3.330 -0.220 0.000 In
3.756 -9.184 -0.145 In
```

Output
D(E_F), states/eV/cell: 5.250
Magnetization, Bohr magnetons per cell: 0.00
Mass density, g/cm3: 7.726
Calculated formation energy, meV/atom: -581.7
Symmetry: P-3m1, No. 164

No. 2
Material: CoAg2PtC
Method: DFT, PBE
State: relaxed

POSCAR file:
```
CoAg2PtC
1.0
-0.141 -3.385 -3.882
4.513 0.563 -0.655
0.958 -3.833 3.307
Pt C Ag Co
1 1 2 1
Cartesian
0.000 0.000 0.000 Pt
2.665 -3.328 -0.615 C
0.479 -1.917 1.654 Ag
-0.071 -1.692 -1.941 Ag
2.257 0.281 -0.327 Co
```

Output
D(E_F), states/eV/cell: 4.512
Magnetization, Bohr magnetons per cell: 4.43
Mass density, g/cm3: 6.558
Calculated formation energy, meV/atom: 2224.4
Symmetry: P4/mmm, No. 123